(1)
The following is a DFT calculation (GGA-PBE) of a relaxed Zr6Ga16Ru7 crystal.

Lattice parameters (Å, degrees): 8.779 8.779 8.779 60.00 60.00 60.00
Positions (direct):
Zr: 0.715 0.285 0.285
Zr: 0.715 0.285 0.715
Zr: 0.285 0.715 0.285
Zr: 0.715 0.715 0.285
Zr: 0.285 0.285 0.715
Zr: 0.285 0.715 0.715
Ga: 0.630 0.123 0.123
Ga: 0.656 0.656 0.033
Ga: 0.656 0.656 0.656
Ga: 0.967 0.344 0.344
Ga: 0.344 0.344 0.344
Ga: 0.877 0.877 0.877
Ga: 0.370 0.877 0.877
Ga: 0.123 0.630 0.123
Ga: 0.877 0.877 0.370
Ga: 0.344 0.967 0.344
Ga: 0.033 0.656 0.656
Ga: 0.123 0.123 0.630
Ga: 0.344 0.344 0.967
Ga: 0.123 0.123 0.123
Ga: 0.656 0.033 0.656
Ga: 0.877 0.370 0.877
Ru: 0.500 0.000 0.000
Ru: 0.000 0.500 0.000
Ru: 0.500 0.500 0.000
Ru: 0.000 0.000 0.500
Ru: 0.000 0.000 0.000
Ru: 0.500 0.000 0.500
Ru: 0.000 0.500 0.500

Properties
DFT total energy   -178.466 eV for the cell shown
Formation energy   -476 meV/atom
Theoretical density   8.23 g/cm³

---

(2)
The following is a DFT calculation (GGA-PBE) of a relaxed Zn6InAg6 crystal.

Lattice parameters (Å, degrees): 5.147 7.070 7.070 85.73 68.65 68.65
Positions (direct):
Zn: 0.000 0.000 0.500
Zn: 0.500 0.500 0.000
Zn: 0.500 0.755 0.245
Zn: 0.500 0.000 0.500
Zn: 0.500 0.245 0.755
Zn: 0.000 0.500 0.000
Ag: 0.678 0.822 0.822
Ag: 0.660 0.340 0.340
Ag: 0.000 0.645 0.355
Ag: 0.322 0.178 0.178
Ag: 0.340 0.660 0.660
Ag: 0.000 0.355 0.645
In: 0.000 0.000 0.000

Properties
DFT total energy   -27.724 eV for the cell shown
Formation energy   -18 meV/atom
Theoretical density   8.61 g/cm³
Distance to the lowest polymorph of the same formula   0.000 eV per atom

---

(3)
The following is a DFT calculation (GGA-PBE) of a relaxed LiH3Pd crystal.

Lattice parameters (Å, degrees): 3.511 3.511 3.511 88.14 88.14 88.14
Positions (direct):
Pd: 0.966 0.966 0.966
H: 0.641 0.641 0.070
H: 0.641 0.070 0.641
H: 0.070 0.641 0.641
Li: 0.556 0.556 0.556

Properties
DFT total energy   -16.753 eV for the cell shown
Theoretical density   4.47 g/cm³

---

(4)
The following is a DFT calculation (GGA-PBE) of a relaxed Cu2BPd6 crystal.

Lattice parameters (Å, degrees): 5.663 5.663 5.663 59.99 59.99 60.00
Positions (direct):
Pd: 0.756 0.756 0.244
Pd: 0.244 0.244 0.756
Pd: 0.756 0.244 0.756
Pd: 0.244 0.756 0.244
Pd: 0.244 0.756 0.756
Pd: 0.756 0.244 0.244
Cu: 0.750 0.750 0.750
Cu: 0.250 0.250 0.250
B: 0.500 0.500 0.500

Properties
DFT total energy   -47.271 eV for the cell shown
Formation energy   -138 meV/atom
Theoretical density   10.04 g/cm³

---

(5)
The following is a DFT calculation (GGA-PBE) of a relaxed BaTh3P4N12 crystal.

Lattice parameters (Å, degrees): 7.201 7.201 7.201 102.53 102.53 102.53
Each line ends with the local moment (μB).
Positions (direct):
Th: 0.000 0.543 0.457  0.04
Th: 0.543 0.457 0.000  0.04
Th: 0.457 0.000 0.543  0.04
N: 0.619 0.798 0.021  0.15
N: 0.979 0.202 0.381  0.15
N: 0.021 0.619 0.798  0.15
N: 0.500 0.359 0.641  0.05
N: 0.359 0.641 0.500  0.05
N: 0.903 0.500 0.097  0.12
N: 0.500 0.097 0.903  0.12
N: 0.798 0.021 0.619  0.15
N: 0.381 0.979 0.202  0.15
N: 0.097 0.903 0.500  0.12
N: 0.641 0.500 0.359  0.05
N: 0.202 0.381 0.979  0.15
P: 0.500 0.956 0.044  -0.01
P: 0.044 0.500 0.956  -0.01
P: 0.956 0.044 0.500  -0.01
P: 0.500 0.500 0.500  0.00
Ba: 0.000 0.000 0.000  0.01

Properties
DFT total energy   -161.244 eV for the cell shown
Theoretical density   5.47 g/cm³
Raw formation energy   -0.7759 eV/atom

---

(6)
The following is a DFT calculation (GGA-PBE) of a relaxed SrLiY2 crystal.

Lattice parameters (Å, degrees): 8.922 8.922 7.142 51.35 51.35 90.00
Positions (direct):
Y: 0.174 0.625 0.250
Y: 0.875 0.826 0.750
Y: 0.375 0.424 0.750
Y: 0.576 0.125 0.250
Sr: 0.750 0.250 0.500
Sr: 0.000 0.000 0.000
Li: 0.500 0.500 0.000
Li: 0.250 0.750 0.500

Properties
DFT total energy   -29.873 eV for the cell shown
Formation energy   397 meV/atom
Theoretical density   3.39 g/cm³
Distance to the lowest polymorph of the same formula   0.289 eV per atom

---

(7)
The following is a DFT calculation (GGA-PBE) of a relaxed UZn4Cd crystal.

Lattice parameters (Å, degrees): 5.416 5.416 5.416 60.00 60.00 60.00
Each line ends with the local moment (μB).
Positions (direct):
Zn: 0.624 0.624 0.624  0.01
Zn: 0.624 0.624 0.127  0.01
Zn: 0.624 0.127 0.624  0.01
Zn: 0.127 0.624 0.624  0.01
Cd: 0.000 0.000 0.000  0.01
U: 0.250 0.250 0.250  2.54

Properties
DFT total energy   -16.305 eV for the cell shown
Formation energy   166 meV/atom
Theoretical density   9.05 g/cm³

---

(8)
The following is a DFT calculation (GGA-PBE) of a relaxed La2Nd12Sc crystal.

Lattice parameters (Å, degrees): 6.735 6.735 24.407 90.00 90.00 90.00
Positions (direct):
Nd: 0.749 0.249 0.901
Nd: 0.500 0.500 0.331
Nd: 0.751 0.251 0.099
Nd: 0.251 0.751 0.901
Nd: 0.333 0.167 0.564
Nd: 0.249 0.749 0.099
Nd: 0.500 0.500 0.669
Nd: 0.667 0.833 0.564
Nd: 0.000 0.000 0.798
Nd: 0.333 0.833 0.436
Nd: 0.833 0.333 0.564
Nd: 0.167 0.667 0.564
Nd: 0.751 0.749 0.901
Nd: 0.000 0.000 0.331
Nd: 0.249 0.251 0.901
Nd: 0.500 0.500 0.202
Nd: 0.251 0.249 0.099
Nd: 0.000 0.000 0.669
Nd: 0.167 0.333 0.436
Nd: 0.000 0.000 0.202
Nd: 0.833 0.667 0.436
Nd: 0.749 0.751 0.099
Nd: 0.667 0.167 0.436
Nd: 0.500 0.500 0.798
Sc: 0.000 0.500 0.000
Sc: 0.500 0.000 0.000
La: 0.000 0.500 0.753
La: 0.500 0.000 0.753
La: 0.500 0.000 0.247
La: 0.000 0.500 0.247

Properties
DFT total energy   -137.095 eV for the cell shown
Formation energy   324 meV/atom
Theoretical density   6.16 g/cm³